Record 1
The following is a DFT calculation (PBE-GGA) of crystalline CsPSeBr2 at its relaxed geometry.

CIF file:
```
data_CsPSeBr2
_space_group_name_H-M_alt 'P 1'
_space_group_IT_number 1
_cell_length_a 5.646
_cell_length_b 5.646
_cell_length_c 4.784
_cell_angle_alpha 90.00
_cell_angle_beta 90.00
_cell_angle_gamma 90.00
loop_
_space_group_symop_operation_xyz
'x,y,z'
loop_
_atom_site_label
_atom_site_type_symbol
_atom_site_fract_x
_atom_site_fract_y
_atom_site_fract_z
Br1 Br 0.500 0.000 0.000
Br2 Br 0.000 0.500 0.000
Se1 Se 0.000 0.000 0.500
Cs1 Cs 0.500 0.500 0.500
P1 P 0.000 0.000 0.000
```

Computed properties:
- Excess energy over the best structure of this formula in the dataset: 0.0 meV/atom
- Space group: P4/mmm
- E_form (uncorrected): -2.818 eV per formula unit



Record 2
The following is a DFT calculation (PBE-GGA) of crystalline LiScAg2Cl6 at its relaxed geometry.

CIF file:
```
data_LiScAg2Cl6
_space_group_name_H-M_alt 'P 1'
_space_group_IT_number 1
_cell_length_a 6.695
_cell_length_b 6.694
_cell_length_c 7.071
_cell_angle_alpha 61.71
_cell_angle_beta 61.71
_cell_angle_gamma 59.96
loop_
_space_group_symop_operation_xyz
'x,y,z'
loop_
_atom_site_label
_atom_site_type_symbol
_atom_site_fract_x
_atom_site_fract_y
_atom_site_fract_z
Sc1 Sc 0.322 0.322 0.035
Cl1 Cl 0.956 0.572 0.272
Cl2 Cl 0.201 0.956 0.271
Cl3 Cl 0.573 0.200 0.271
Cl4 Cl 0.688 0.088 0.778
Cl5 Cl 0.088 0.445 0.779
Cl6 Cl 0.444 0.689 0.779
Ag1 Ag 0.534 0.533 0.398
Ag2 Ag 0.036 0.037 0.890
Li1 Li 0.819 0.819 0.542
```

Computed properties:
- Space group: R3
- E_form (uncorrected): -13.610 eV per formula unit



Record 3
The following is a DFT calculation (PBE-GGA) of crystalline LiInCoHg at its relaxed geometry.

CIF file:
```
data_LiInCoHg
_space_group_name_H-M_alt 'P 1'
_space_group_IT_number 1
_cell_length_a 4.510
_cell_length_b 4.510
_cell_length_c 4.510
_cell_angle_alpha 60.00
_cell_angle_beta 60.00
_cell_angle_gamma 60.00
loop_
_space_group_symop_operation_xyz
'x,y,z'
loop_
_atom_site_label
_atom_site_type_symbol
_atom_site_fract_x
_atom_site_fract_y
_atom_site_fract_z
In1 In 0.250 0.250 0.250
Hg1 Hg 0.750 0.750 0.750
Li1 Li 0.000 0.000 0.000
Co1 Co 0.500 0.500 0.500
```

Computed properties:
- Formation energy from the elements: -0.005 eV per atom
- Space group: F-43m



Record 4
The following is a DFT calculation (PBE-GGA) of crystalline La5PrIn4 at its relaxed geometry.

CIF file:
```
data_La5PrIn4
_space_group_name_H-M_alt 'P 1'
_space_group_IT_number 1
_cell_length_a 3.697
_cell_length_b 3.697
_cell_length_c 23.287
_cell_angle_alpha 90.00
_cell_angle_beta 90.00
_cell_angle_gamma 90.00
loop_
_space_group_symop_operation_xyz
'x,y,z'
loop_
_atom_site_label
_atom_site_type_symbol
_atom_site_fract_x
_atom_site_fract_y
_atom_site_fract_z
In1 In 0.000 0.000 0.596
In2 In 0.000 0.000 0.404
In3 In 0.000 0.000 0.211
In4 In 0.000 0.000 0.789
La1 La 0.500 0.500 0.116
La2 La 0.500 0.500 0.500
La3 La 0.500 0.500 0.693
La4 La 0.500 0.500 0.884
La5 La 0.500 0.500 0.307
Pr1 Pr 0.000 0.000 0.000
```

Computed properties:
- Formation energy from the elements: -0.400 eV per atom
- Excess energy over the best structure of this formula in the dataset: 0.0 meV/atom
- Space group: P4/mmm



Record 5
The following is a DFT calculation (PBE-GGA) of crystalline AlTl2Mo at its relaxed geometry.

CIF file:
```
data_AlTl2Mo
_space_group_name_H-M_alt 'P 1'
_space_group_IT_number 1
_cell_length_a 7.899
_cell_length_b 7.899
_cell_length_c 6.289
_cell_angle_alpha 51.10
_cell_angle_beta 51.10
_cell_angle_gamma 90.00
loop_
_space_group_symop_operation_xyz
'x,y,z'
loop_
_atom_site_label
_atom_site_type_symbol
_atom_site_fract_x
_atom_site_fract_y
_atom_site_fract_z
Tl1 Tl 0.623 0.125 0.250
Tl2 Tl 0.127 0.625 0.250
Tl3 Tl 0.375 0.377 0.750
Tl4 Tl 0.875 0.873 0.750
Al1 Al 0.500 0.500 0.000
Al2 Al 0.250 0.750 0.500
Mo1 Mo 0.000 0.000 0.000
Mo2 Mo 0.750 0.250 0.500
```

Computed properties:
- Formation energy from the elements: 0.897 eV per atom
- Excess energy over the best structure of this formula in the dataset: 510.2 meV/atom
- Space group: I-42d



Record 6
The following is a DFT calculation (PBE-GGA) of crystalline BaIn3Pt at its relaxed geometry.

CIF file:
```
data_BaIn3Pt
_space_group_name_H-M_alt 'P 1'
_space_group_IT_number 1
_cell_length_a 6.267
_cell_length_b 6.267
_cell_length_c 6.267
_cell_angle_alpha 90.00
_cell_angle_beta 90.00
_cell_angle_gamma 90.00
loop_
_space_group_symop_operation_xyz
'x,y,z'
loop_
_atom_site_label
_atom_site_type_symbol
_atom_site_fract_x
_atom_site_fract_y
_atom_site_fract_z
Ba1 Ba 0.000 0.000 0.000
Pt1 Pt 0.500 0.500 0.500
In1 In 0.500 0.000 0.000
In2 In 0.000 0.500 0.000
In3 In 0.000 0.000 0.500
```

Computed properties:
- Formation energy from the elements: 1.390 eV per atom
- Space group: Pm-3m



Record 7
The following is a DFT calculation (PBE-GGA) of crystalline Hf5MnRu4 at its relaxed geometry.

CIF file:
```
data_Hf5MnRu4
_space_group_name_H-M_alt 'P 1'
_space_group_IT_number 1
_cell_length_a 3.223
_cell_length_b 3.223
_cell_length_c 16.186
_cell_angle_alpha 90.00
_cell_angle_beta 90.00
_cell_angle_gamma 90.00
loop_
_space_group_symop_operation_xyz
'x,y,z'
loop_
_atom_site_label
_atom_site_type_symbol
_atom_site_fract_x
_atom_site_fract_y
_atom_site_fract_z
Hf1 Hf 0.500 0.500 0.905
Hf2 Hf 0.500 0.500 0.297
Hf3 Hf 0.500 0.500 0.500
Hf4 Hf 0.500 0.500 0.703
Hf5 Hf 0.500 0.500 0.095
Ru1 Ru 0.000 0.000 0.200
Ru2 Ru 0.000 0.000 0.400
Ru3 Ru 0.000 0.000 0.600
Ru4 Ru 0.000 0.000 0.800
Mn1 Mn 0.000 0.000 0.000
```

Computed properties:
- Formation energy from the elements: -0.694 eV per atom
- Space group: P4/mmm



Record 8
The following is a DFT calculation (PBE-GGA) of crystalline Nd3CdPb at its relaxed geometry.

CIF file:
```
data_Nd3CdPb
_space_group_name_H-M_alt 'P 1'
_space_group_IT_number 1
_cell_length_a 4.492
_cell_length_b 6.861
_cell_length_c 10.830
_cell_angle_alpha 90.00
_cell_angle_beta 90.00
_cell_angle_gamma 90.00
loop_
_space_group_symop_operation_xyz
'x,y,z'
loop_
_atom_site_label
_atom_site_type_symbol
_atom_site_fract_x
_atom_site_fract_y
_atom_site_fract_z
Pb1 Pb 0.250 0.750 0.866
Pb2 Pb 0.750 0.250 0.134
Nd1 Nd 0.250 0.487 0.304
Nd2 Nd 0.250 0.013 0.304
Nd3 Nd 0.250 0.250 0.923
Nd4 Nd 0.750 0.750 0.077
Nd5 Nd 0.750 0.987 0.696
Nd6 Nd 0.750 0.513 0.696
Cd1 Cd 0.250 0.250 0.563
Cd2 Cd 0.750 0.750 0.437
```

Computed properties:
- Formation energy from the elements: -0.238 eV per atom
- Space group: Pmmn



Record 9
The following is a DFT calculation (PBE-GGA) of crystalline Pr6Ho3Er2Th at its relaxed geometry.

CIF file:
```
data_Pr6Ho3Er2Th
_space_group_name_H-M_alt 'P 1'
_space_group_IT_number 1
_cell_length_a 6.285
_cell_length_b 6.285
_cell_length_c 11.940
_cell_angle_alpha 95.05
_cell_angle_beta 95.05
_cell_angle_gamma 119.99
loop_
_space_group_symop_operation_xyz
'x,y,z'
loop_
_atom_site_label
_atom_site_type_symbol
_atom_site_fract_x
_atom_site_fract_y
_atom_site_fract_z
Er1 Er 0.667 0.333 0.000
Er2 Er 0.333 0.667 0.000
Th1 Th 0.000 0.000 0.000
Ho1 Ho 0.500 0.500 0.500
Ho2 Ho 0.167 0.833 0.500
Ho3 Ho 0.833 0.167 0.500
Pr1 Pr 0.083 0.414 0.250
Pr2 Pr 0.414 0.083 0.250
Pr3 Pr 0.586 0.917 0.750
Pr4 Pr 0.917 0.586 0.750
Pr5 Pr 0.753 0.753 0.249
Pr6 Pr 0.247 0.247 0.751
```

Computed properties:
- Formation energy from the elements: 0.035 eV per atom
- Space group: C2/m



Record 10
The following is a DFT calculation (PBE-GGA) of crystalline Te2HBr at its relaxed geometry.

CIF file:
```
data_Te2HBr
_space_group_name_H-M_alt 'P 1'
_space_group_IT_number 1
_cell_length_a 5.071
_cell_length_b 5.071
_cell_length_c 5.071
_cell_angle_alpha 60.00
_cell_angle_beta 60.00
_cell_angle_gamma 60.00
loop_
_space_group_symop_operation_xyz
'x,y,z'
loop_
_atom_site_label
_atom_site_type_symbol
_atom_site_fract_x
_atom_site_fract_y
_atom_site_fract_z
Br1 Br 0.500 0.500 0.500
Te1 Te 0.750 0.750 0.750
Te2 Te 0.250 0.250 0.250
H1 H 0.000 0.000 0.000
```

Computed properties:
- Excess energy over the best structure of this formula in the dataset: 860.7 meV/atom
- Space group: Fm-3m



Record 11
The following is a DFT calculation (PBE-GGA) of crystalline AcTb3Tl3 at its relaxed geometry.

CIF file:
```
data_AcTb3Tl3
_space_group_name_H-M_alt 'P 1'
_space_group_IT_number 1
_cell_length_a 5.307
_cell_length_b 9.744
_cell_length_c 9.744
_cell_angle_alpha 120.00
_cell_angle_beta 90.00
_cell_angle_gamma 90.00
loop_
_space_group_symop_operation_xyz
'x,y,z'
loop_
_atom_site_label
_atom_site_type_symbol
_atom_site_fract_x
_atom_site_fract_y
_atom_site_fract_z
Tl1 Tl 0.250 0.558 0.933
Tl2 Tl 0.750 0.624 0.558
Tl3 Tl 0.250 0.067 0.624
Tl4 Tl 0.250 0.376 0.442
Tl5 Tl 0.750 0.933 0.376
Tl6 Tl 0.750 0.442 0.067
Tb1 Tb 0.750 0.994 0.766
Tb2 Tb 0.750 0.772 0.006
Tb3 Tb 0.250 0.006 0.234
Tb4 Tb 0.250 0.228 0.994
Tb5 Tb 0.750 0.234 0.228
Tb6 Tb 0.250 0.766 0.772
Ac1 Ac 0.750 0.333 0.667
Ac2 Ac 0.250 0.667 0.333
```

Computed properties:
- Formation energy from the elements: -0.259 eV per atom
- Space group: P6_3/m



Record 12
The following is a DFT calculation (PBE-GGA) of crystalline CaPr2Nd at its relaxed geometry.

CIF file:
```
data_CaPr2Nd
_space_group_name_H-M_alt 'P 1'
_space_group_IT_number 1
_cell_length_a 3.720
_cell_length_b 3.720
_cell_length_c 10.718
_cell_angle_alpha 90.00
_cell_angle_beta 90.00
_cell_angle_gamma 90.00
loop_
_space_group_symop_operation_xyz
'x,y,z'
loop_
_atom_site_label
_atom_site_type_symbol
_atom_site_fract_x
_atom_site_fract_y
_atom_site_fract_z
Nd1 Nd 0.500 0.500 0.000
Pr1 Pr 0.000 0.000 0.236
Pr2 Pr 0.000 0.000 0.764
Ca1 Ca 0.500 0.500 0.500
```

Computed properties:
- Formation energy from the elements: 0.033 eV per atom
- Excess energy over the best structure of this formula in the dataset: 3.2 meV/atom
- Space group: P4/mmm



Calculated Fermi-level density of states, 0.24; 0.00; 0.68; 0.96; 0.97; 1.33; 0.28; 1.05; 1.28; 0.81; 0.96; 1.37 states/eV/atom (same order as the records).
Calculated mass density, 4.384; 3.473; 9.760; 6.755; 9.794; 4.566; 13.351; 7.486; 7.873; 6.053; 10.023; 5.218 g cm⁻³ (same order as the records).
Calculated electronic total energy, -15.91; -38.64; -12.08; -44.37; -15.72; -9.23; -102.98; -20.12; -58.53; -7.61; -26.91; -16.20 eV per formula unit (same order as the records).